DFT (PBE) results for a relaxed structure of Pm7Ge3N2.

Values from the calculation:
formation energy (no corrections) = -0.90 eV per atom
density of states at the Fermi level = 5.9 states/eV/f.u.
calculated total energy = -149.03 eV/cell
ρ = 7.1 g/cm3

Cell and atoms, written as CIF:
```
data_Pm7Ge3N2
_chemical_formula_sum 'Pm14 Ge6 N4'
_cell_length_a 4.846
_cell_length_b 4.846
_cell_length_c 25.067
_cell_angle_alpha 90.00
_cell_angle_beta 90.00
_cell_angle_gamma 90.00
_symmetry_space_group_name_H-M 'I 4/m m m'
_symmetry_Int_Tables_number 139
_symmetry_space_group_name_Hall '-I 4 2'
loop_
_atom_site_label
_atom_site_fract_x
_atom_site_fract_y
_atom_site_fract_z
Pm1 0.000 0.000 0.000
Pm2 0.000 0.000 0.200
Pm3 0.000 0.500 0.096
Ge1 0.000 0.000 0.322
Ge2 0.000 0.000 0.500
N1 0.000 0.000 0.102
```